# PBE HfTaS2Cl, relaxed
data_HfTaS2Cl
_chemical_formula_sum 'Hf1 Ta1 S2 Cl1'
_space_group_name_H-M_alt 'P 1'
_space_group_IT_number 1
_space_group_name_Hall 'P 1'
_cell_length_a 4.786
_cell_length_b 4.786
_cell_length_c 4.713
_cell_angle_alpha 90.00
_cell_angle_beta 90.00
_cell_angle_gamma 90.00
loop_
_atom_site_label
_atom_site_type_symbol
_atom_site_fract_x
_atom_site_fract_y
_atom_site_fract_z
Ta1 Ta 0.000 0.000 0.000
Cl1 Cl 0.000 0.000 0.500
S1 S 0.500 0.000 0.000
S2 S 0.000 0.500 0.000
Hf1 Hf 0.500 0.500 0.500
# formation energy from raw total energies: 0.05 eV/atom



# PBE TcPtIN2, relaxed
data_TcPtIN2
_chemical_formula_sum 'Tc1 Pt1 I1 N2'
_space_group_name_H-M_alt 'P 1'
_space_group_IT_number 1
_space_group_name_Hall 'P 1'
_cell_length_a 3.828
_cell_length_b 3.828
_cell_length_c 6.029
_cell_angle_alpha 90.00
_cell_angle_beta 90.00
_cell_angle_gamma 90.00
loop_
_atom_site_label
_atom_site_type_symbol
_atom_site_fract_x
_atom_site_fract_y
_atom_site_fract_z
N1 N 0.000 0.500 0.000
N2 N 0.500 0.000 0.000
Pt1 Pt 0.500 0.500 0.500
I1 I 0.000 0.000 0.500
Tc1 Tc 0.000 0.000 0.000
# formation energy from raw total energies: 0.87 eV/atom



# PBE RbDy2As2Se6, relaxed
data_RbDy2As2Se6
_chemical_formula_sum 'Rb1 Dy2 As2 Se6'
_space_group_name_H-M_alt 'P 1'
_space_group_IT_number 1
_space_group_name_Hall 'P 1'
_cell_length_a 7.765
_cell_length_b 7.838
_cell_length_c 8.319
_cell_angle_alpha 120.48
_cell_angle_beta 79.80
_cell_angle_gamma 72.07
loop_
_atom_site_label
_atom_site_type_symbol
_atom_site_fract_x
_atom_site_fract_y
_atom_site_fract_z
As1 As 0.836 0.167 0.149
As2 As 0.164 0.833 0.851
Se1 Se 0.104 0.902 0.595
Se2 Se 0.896 0.098 0.405
Se3 Se 0.445 0.767 0.017
Se4 Se 0.092 0.544 0.832
Se5 Se 0.908 0.456 0.168
Se6 Se 0.555 0.233 0.983
Dy1 Dy 0.212 0.624 0.160
Dy2 Dy 0.788 0.376 0.840
Rb1 Rb 0.500 0.000 0.500
# formation energy from raw total energies: -0.95 eV/atom



# PBE ZrInAg, relaxed
data_ZrInAg
_chemical_formula_sum 'Zr2 In2 Ag2'
_space_group_name_H-M_alt 'P 1'
_space_group_IT_number 1
_space_group_name_Hall 'P 1'
_cell_length_a 4.174
_cell_length_b 4.174
_cell_length_c 7.498
_cell_angle_alpha 90.00
_cell_angle_beta 90.00
_cell_angle_gamma 90.00
loop_
_atom_site_label
_atom_site_type_symbol
_atom_site_fract_x
_atom_site_fract_y
_atom_site_fract_z
Ag1 Ag 0.500 0.000 0.232
Ag2 Ag 0.000 0.500 0.768
Zr1 Zr 0.000 0.500 0.141
Zr2 Zr 0.500 0.000 0.859
In1 In 0.500 0.500 0.500
In2 In 0.000 0.000 0.500
# energy relative to the elements: 0.047 eV/atom



| no. | E_tot (eV per cell) |
| --- | --- |
| 1 | -31.7 |
| 2 | -30.3 |
| 3 | -50.9 |
| 4 | -28.0 |